Entry 1:
# NdTmGa2Pd5

A geometry-optimized NdTmGa2Pd5 structure (PBE-GGA, Alexandria via LeMat-Bulk).

Results
Crystal system = tetragonal
DOS(E_F) = 0.601 states/eV per atom
Formation enthalpy at 0 K = -766 meV/atom

a b c (Å): 4.2345 4.2345 9.2868
angles (deg): 90.00 90.00 90.00
With the nearest neighbours (Å) after each atom.
Space group P4/mmm (No. 123)
Inequivalent atoms, fractional coordinates:
Nd: 0.0000 0.0000 0.0000  12 Pd 2.99-3.00
Tm: 0.0000 0.0000 0.5000  8 Ga 3.23, 8 Pd 3.29
Ga: 0.5000 0.5000 0.3683  1 Ga 2.45, 4 Pd 2.48
Pd: 0.0000 0.5000 0.2293  2 Ga 2.48
Pd: 0.5000 0.5000 0.0000  4 Nd 2.99, 8 Pd 3.00

Entry 2:
# NdYGaPd

A geometry-optimized NdYGaPd structure (PBE-GGA, Alexandria via LeMat-Bulk).

Results
Crystal system = cubic
DOS(E_F) = 0.856 states/eV per atom
Formation enthalpy at 0 K = -652 meV/atom
Excess energy over the best structure of this formula in the dataset = 49 meV per atom

a b c (Å): 7.2394 7.2394 7.2394
angles (deg): 90.00 90.00 90.00
With the nearest neighbours (Å) after each atom.
Space group F-43m (No. 216)
Inequivalent atoms, fractional coordinates:
Nd: 0.0000 0.0000 0.0000  4 Ga 3.13, 4 Pd 3.13
Y: 0.0000 0.0000 0.5000  4 Pd 3.13, 4 Ga 3.13
Ga: 0.2500 0.2500 0.2500  4 Nd 3.13, 4 Y 3.13
Pd: 0.2500 0.2500 0.7500  4 Nd 3.13, 4 Y 3.13

Entry 3:
# NdYGa2Pd5

A geometry-optimized NdYGa2Pd5 structure (PBE-GGA, Alexandria via LeMat-Bulk).

Results
Crystal system = tetragonal
DOS(E_F) = 0.608 states/eV per atom
Formation enthalpy at 0 K = -782 meV/atom

a b c (Å): 4.2503 4.2503 9.3002
angles (deg): 90.00 90.00 90.00
With the nearest neighbours (Å) after each atom.
Space group P4/mmm (No. 123)
Inequivalent atoms, fractional coordinates:
Nd: 0.0000 0.0000 0.0000  12 Pd 3.00-3.01
Y: 0.0000 0.0000 0.5000  8 Ga 3.25, 8 Pd 3.31
Ga: 0.5000 0.5000 0.3666  1 Ga 2.48, 4 Pd 2.49
Pd: 0.0000 0.5000 0.2276  2 Ga 2.49
Pd: 0.5000 0.5000 0.0000  8 Pd 3.00, 4 Nd 3.01

Entry 4:
# NdYGaPd

A geometry-optimized NdYGaPd structure (PBE-GGA, Alexandria via LeMat-Bulk).

Results
Crystal system = orthorhombic
DOS(E_F) = 1.044 states/eV per atom
Formation enthalpy at 0 K = -700 meV/atom
Excess energy over the best structure of this formula in the dataset = 0 meV per atom

a b c (Å): 4.5156 3.8619 11.1822
angles (deg): 90.00 90.00 90.00
With the nearest neighbours (Å) after each atom.
Space group Amm2 (No. 38)
Inequivalent atoms, fractional coordinates:
Nd: 0.0000 0.0000 0.0000  4 Ga 3.08, 3 Pd 3.13
Y: 0.5000 0.0000 0.2847  4 Pd 3.06, 3 Ga 3.07-3.21
Ga: 0.5000 0.0000 0.5716  2 Pd 2.80, 2 Y 3.07, 4 Nd 3.08
Pd: 0.0000 0.0000 0.7198  2 Ga 2.80, 4 Y 3.06, 3 Nd 3.13

Entry 5:
# NdZnGaPd3

A geometry-optimized NdZnGaPd3 structure (PBE-GGA, Alexandria via LeMat-Bulk).

Results
Crystal system = orthorhombic
DOS(E_F) = 0.635 states/eV per atom
Formation enthalpy at 0 K = -543 meV/atom

a b c (Å): 6.6687 12.1609 5.7556
angles (deg): 90.00 90.00 90.00
With the nearest neighbours (Å) after each atom.
Space group Cmcm (No. 63)
Inequivalent atoms, fractional coordinates:
Nd: 0.0000 0.2056 0.2500  1 Zn 2.97, 2 Ga 3.02, 6 Pd 3.20-3.28
Zn: 0.0000 0.4502 0.2500  5 Pd 2.50-2.61
Ga: 0.0000 0.1316 0.7500  5 Pd 2.47-2.56
Pd: 0.0000 0.3351 0.7500  1 Ga 2.47, 1 Zn 2.61
Pd: 0.2078 0.0000 0.0000  2 Zn 2.50, 2 Ga 2.56, 1 Pd 2.77

Entry 6:
# Nd2Zn4Ga3Pd

A geometry-optimized Nd2Zn4Ga3Pd structure (PBE-GGA, Alexandria via LeMat-Bulk).

Results
Crystal system = tetragonal
DOS(E_F) = 0.458 states/eV per atom
Formation enthalpy at 0 K = -499 meV/atom

a b c (Å): 4.2678 4.2678 10.5579
angles (deg): 90.00 90.00 90.00
With the nearest neighbours (Å) after each atom.
Space group P-4m2 (No. 115)
Inequivalent atoms, fractional coordinates:
Nd: 0.0000 0.5000 0.2488  8 Zn 3.26-3.40, 6 Ga 3.26-3.38, 2 Pd 3.38
Zn: 0.0000 0.0000 0.5000  4 Ga 2.57
Zn: 0.0000 0.5000 0.8669  3 Ga 2.44-2.56, 2 Pd 2.56
Zn: 0.5000 0.5000 0.5000  4 Ga 2.57
Ga: 0.0000 0.0000 0.0000  4 Zn 2.56
Ga: 0.0000 0.5000 0.6355  5 Zn 2.44-2.57
Pd: 0.5000 0.5000 0.0000  4 Zn 2.56